Record 1
DFT (PBE) results for a relaxed Ce2Zn2AgPt5 crystal.

Output
Electronic total energy in eV per atom: -5.390
Crystal system: tetragonal
ρ in g cm⁻³: 13.55
SG: P4/mbm (127)
Calculated formation energy in eV/atom: -0.64
Magnetization in μB per cell: 2.91

Cell: 3.861 9.738 9.738 Å, 90.00 90.00 90.00°
Site moments in Bohr magnetons follow the coordinates.
Sites, in units of the cell vectors:
1 Pt 0.500 0.706 0.434  -0.01
2 Ag 0.000 0.000 0.000  0.00
3 Pt 0.500 0.500 0.000  -0.01
4 Pt 0.500 0.000 0.500  -0.01
5 Pt 0.500 0.206 0.066  -0.01
6 Zn 0.000 0.619 0.881  0.00
7 Zn 0.000 0.119 0.619  0.00
8 Pt 0.500 0.066 0.794  -0.01
9 Pt 0.500 0.794 0.934  -0.01
10 Zn 0.000 0.881 0.381  0.00
11 Pt 0.500 0.434 0.294  -0.01
12 Zn 0.000 0.381 0.119  0.00
13 Ce 0.000 0.179 0.321  0.68
14 Ce 0.000 0.679 0.179  0.68
15 Ce 0.000 0.821 0.679  0.68
16 Ce 0.000 0.321 0.821  0.68
17 Pt 0.500 0.566 0.706  -0.01
18 Pt 0.500 0.934 0.206  -0.01
19 Ag 0.000 0.500 0.500  0.00
20 Pt 0.500 0.294 0.566  -0.01


Record 2
DFT (PBE) results for a relaxed Tb5NdIn2 crystal.

Output
Electronic total energy in eV per atom: -4.353
Crystal system: orthorhombic
ρ in g cm⁻³: 7.94
SG: Immm (71)
Calculated formation energy in eV/atom: -0.18
Magnetization in μB per cell: 0.00

Cell: 3.618 8.487 8.487 Å, 77.13 77.69 77.69°
Sites, in units of the cell vectors:
1 Tb 0.365 0.860 0.410
2 Nd 0.000 0.000 0.000
3 Tb 0.000 0.500 0.500
4 Tb 0.365 0.410 0.860
5 Tb 0.635 0.140 0.590
6 In 0.260 0.240 0.240
7 In 0.740 0.760 0.760
8 Tb 0.635 0.590 0.140


Record 3
DFT (PBE) results for a relaxed RbCaCo2Bi crystal.

Output
Electronic total energy in eV per atom: -3.380
Crystal system: tetragonal
ρ in g cm⁻³: 4.81
SG: P4/mmm (123)
Calculated formation energy in eV/atom: 0.83
Magnetization in μB per cell: 2.39

Cell: 5.131 5.936 5.131 Å, 90.00 90.00 90.00°
Site moments in Bohr magnetons follow the coordinates.
Sites, in units of the cell vectors:
1 Co 0.500 0.000 0.000  1.66
2 Rb 0.500 0.500 0.500  -0.03
3 Ca 0.000 0.500 0.000  -0.06
4 Bi 0.000 0.000 0.000  -0.01
5 Co 0.000 0.000 0.500  1.41


Q: Look up the ρ of the first one.
A: 13.55 g cm⁻³